Entry from the Alexandria database: crystalline ScSiAg at its relaxed geometry (PBE-GGA).

The energy is -5.381 eV/atom. The calculation puts the uncorrected formation energy at -513 meV/atom. For the density of states at the Fermi level, the calculation gives 4.65 states/eV per cell.

The space group is Cmcm (No. 63) and the conventional cell measures 3.8412, 15.4788 and 3.6524 Å, with angles of 90.00, 90.00 and 90.00 degrees. The asymmetric unit holds Sc at (0.0000, 0.0948, 0.2500), Si at (0.0000, 0.4528, 0.2500) and Ag at (0.0000, 0.2882, 0.2500).